Density functional theory data (GGA-PBE) for crystalline LaNd2Nb2N6 at its relaxed geometry.

Cell: 10.3113 10.3113 10.3113 Å, 157.20 157.20 32.47°
Positions (direct):
1 La 0.0000 0.0000 0.0000
2 Nd 0.1785 0.1785 0.0000
3 Nd 0.8215 0.8215 0.0000
4 Nb 0.3968 0.3968 0.0000
5 Nb 0.6032 0.6032 0.0000
6 N 0.0856 0.5856 0.5000
7 N 0.2986 0.2986 0.0000
8 N 0.4144 0.9144 0.5000
9 N 0.5856 0.0856 0.5000
10 N 0.7014 0.7014 0.0000
11 N 0.9144 0.4144 0.5000

Calculated values
Space-group type   No. 139
Total DFT energy (no corrections)   -8.940 eV per atom